# 1
# Nd6Sb3N

An optimized crystal structure of Nd6Sb3N (PBE, the Alexandria database). Values from VASP.

Geometry as Quantum ESPRESSO input:
```
&SYSTEM
  ibrav = 0, nat = 20, ntyp = 3
/
ATOMIC_SPECIES
Nd 144.24 Nd.upf
Sb 121.76 Sb.upf
N 14.01 N.upf
CELL_PARAMETERS angstrom
-1.338 0.984 -7.065
-9.292 -1.849 1.502
0.203 9.504 1.285
ATOMIC_POSITIONS crystal
Nd 0.195 0.693 0.633
Nd 0.695 0.633 0.693
Nd 0.171 0.417 0.892
Nd 0.671 0.892 0.417
Nd 0.146 0.052 0.948
Nd 0.715 0.225 0.775
Nd 0.215 0.775 0.225
Nd 0.646 0.948 0.052
Nd 0.171 0.108 0.583
Nd 0.671 0.583 0.108
Nd 0.195 0.367 0.307
Nd 0.695 0.307 0.367
Sb 0.479 0.934 0.728
Sb 0.979 0.728 0.934
Sb 0.403 0.388 0.612
Sb 0.903 0.612 0.388
Sb 0.979 0.066 0.272
Sb 0.479 0.272 0.066
N 0.031 0.198 0.802
N 0.531 0.802 0.198
```

V (A^3/atom): 32.8
Formation energy without anion corrections (eV/f.u.): -8.78


# 2
# Nd3SbN

An optimized crystal structure of Nd3SbN (PBE, the Alexandria database). Values from VASP.

Geometry as Quantum ESPRESSO input:
```
&SYSTEM
  ibrav = 0, nat = 10, ntyp = 3
/
ATOMIC_SPECIES
Nd 144.24 Nd.upf
Sb 121.76 Sb.upf
N 14.01 N.upf
CELL_PARAMETERS angstrom
4.887 0.000 -0.469
0.000 4.960 0.000
-1.382 0.000 11.212
ATOMIC_POSITIONS crystal
Nd 0.683 0.250 0.868
Nd 0.317 0.750 0.132
Nd 0.933 0.750 0.365
Nd 0.067 0.250 0.635
Nd 0.444 0.250 0.388
Nd 0.556 0.750 0.612
Sb 0.831 0.250 0.161
Sb 0.169 0.750 0.839
N 0.435 0.750 0.370
N 0.565 0.250 0.630
```

V (A^3/atom): 26.9
Formation energy without anion corrections (eV/f.u.): -4.83


# 3
# Nd5Sb2N

An optimized crystal structure of Nd5Sb2N (PBE, the Alexandria database). Values from VASP.

Geometry as Quantum ESPRESSO input:
```
&SYSTEM
  ibrav = 0, nat = 16, ntyp = 3
/
ATOMIC_SPECIES
Nd 144.24 Nd.upf
Sb 121.76 Sb.upf
N 14.01 N.upf
CELL_PARAMETERS angstrom
5.773 0.000 0.000
-2.887 5.068 0.000
0.000 0.000 15.473
ATOMIC_POSITIONS crystal
Nd 0.909 0.818 0.868
Nd 0.909 0.818 0.632
Nd 0.409 0.819 0.368
Nd 0.409 0.819 0.132
Nd 0.750 0.500 0.250
Nd 0.250 0.500 0.750
Nd 0.591 0.181 0.632
Nd 0.591 0.181 0.868
Nd 0.091 0.182 0.132
Nd 0.091 0.182 0.368
Sb 0.750 0.499 0.444
Sb 0.750 0.499 0.056
Sb 0.250 0.501 0.556
Sb 0.250 0.501 0.944
N 0.750 0.500 0.750
N 0.250 0.500 0.250
```

V (A^3/atom): 28.3
Formation energy without anion corrections (eV/f.u.): -5.88


# 4
# Nd3SbSeN

An optimized crystal structure of Nd3SbSeN (PBE, the Alexandria database). Values from VASP.

Geometry as Quantum ESPRESSO input:
```
&SYSTEM
  ibrav = 0, nat = 12, ntyp = 4
/
ATOMIC_SPECIES
Nd 144.24 Nd.upf
Sb 121.76 Sb.upf
Se 78.96 Se.upf
N 14.01 N.upf
CELL_PARAMETERS angstrom
-0.609 -1.638 3.869
7.107 -5.306 -1.129
4.192 7.535 3.850
ATOMIC_POSITIONS crystal
Nd 0.250 0.841 0.489
Nd 0.750 0.896 0.160
Nd 0.750 0.410 0.154
Nd 0.750 0.159 0.511
Nd 0.250 0.590 0.846
Nd 0.250 0.104 0.840
Sb 0.750 0.827 0.790
Sb 0.250 0.173 0.210
Se 0.250 0.650 0.161
Se 0.750 0.350 0.839
N 0.250 0.091 0.599
N 0.750 0.909 0.401
```

V (A^3/atom): 29.4
Formation energy without anion corrections (eV/f.u.): -8.25


# 5
# Nd4SbSe2N

An optimized crystal structure of Nd4SbSe2N (PBE, the Alexandria database). Values from VASP.

Geometry as Quantum ESPRESSO input:
```
&SYSTEM
  ibrav = 0, nat = 16, ntyp = 4
/
ATOMIC_SPECIES
Nd 144.24 Nd.upf
Sb 121.76 Sb.upf
Se 78.96 Se.upf
N 14.01 N.upf
CELL_PARAMETERS angstrom
4.184 0.000 0.000
-2.092 7.041 0.000
0.000 0.000 14.863
ATOMIC_POSITIONS crystal
Nd 0.270 0.540 0.131
Nd 0.730 0.460 0.631
Nd 0.730 0.460 0.869
Nd 0.270 0.540 0.369
Nd 0.000 0.000 0.500
Nd 0.000 0.000 0.000
Nd 0.419 0.838 0.750
Nd 0.581 0.162 0.250
Sb 0.100 0.199 0.750
Sb 0.900 0.801 0.250
Se 0.363 0.725 0.556
Se 0.637 0.275 0.056
Se 0.637 0.275 0.444
Se 0.363 0.725 0.944
N 0.832 0.664 0.750
N 0.168 0.336 0.250
```

V (A^3/atom): 27.4
Formation energy without anion corrections (eV/f.u.): -11.89


# 6
# NdSm2SbN4

An optimized crystal structure of NdSm2SbN4 (PBE, the Alexandria database). Values from VASP.

Geometry as Quantum ESPRESSO input:
```
&SYSTEM
  ibrav = 0, nat = 16, ntyp = 4
/
ATOMIC_SPECIES
Nd 144.24 Nd.upf
Sm 150.36 Sm.upf
Sb 121.76 Sb.upf
N 14.01 N.upf
CELL_PARAMETERS angstrom
3.677 0.000 0.000
-1.838 6.002 0.000
0.000 0.000 12.232
ATOMIC_POSITIONS crystal
Nd 0.113 0.226 0.750
Nd 0.887 0.774 0.250
Sm 0.371 0.743 0.536
Sm 0.629 0.257 0.036
Sm 0.629 0.257 0.464
Sm 0.371 0.743 0.964
Sb 0.850 0.700 0.750
Sb 0.150 0.300 0.250
N 0.275 0.550 0.130
N 0.725 0.450 0.630
N 0.725 0.450 0.870
N 0.275 0.550 0.370
N 0.000 0.000 0.500
N 0.000 0.000 0.000
N 0.443 0.886 0.750
N 0.557 0.114 0.250
```

V (A^3/atom): 16.9
Formation energy without anion corrections (eV/f.u.): -5.27